First-principles (GGA-PBE) data for a relaxed structure of TmSnPtAu, as listed in Alexandria.

The structure in POSCAR format:
```
TmSnPtAu
1.0
0.000 3.443 3.443
3.443 0.000 3.443
3.443 3.443 0.000
Tm Sn Pt Au
1 1 1 1
direct
0.000 0.000 0.000
0.500 0.500 0.500
0.750 0.750 0.750
0.250 0.250 0.250
```

Summary:
Its space group is F-43m (216). The calculation puts the calculated volume at 20.40 A^3/atom. The value obtained for the formation energy is -0.793 eV/atom. The value obtained for the raw total energy is -5.241 eV per atom.